A plane-wave DFT calculation with PBE was carried out for crystalline WS3 at its relaxed geometry.

Values from the calculation:
- SG: P2_1/c
- Mass density: 3.97 Mg/m³
- Energy relative to the lowest polymorph listed for this composition: 0 meV/atom

Cell: 7.891 5.564 11.401 Å, 90.00 110.45 90.00°
Atoms (fractional coordinates):
S (0.185, 0.202, 0.061)
S (0.501, 0.734, 0.119)
S (0.825, 0.276, 0.221)
S (0.175, 0.776, 0.279)
S (0.499, 0.234, 0.381)
S (0.815, 0.702, 0.439)
S (0.185, 0.298, 0.561)
S (0.501, 0.766, 0.619)
S (0.825, 0.224, 0.721)
S (0.175, 0.724, 0.779)
S (0.499, 0.266, 0.881)
S (0.815, 0.798, 0.939)
W (0.349, 0.986, 0.213)
W (0.651, 0.486, 0.287)
W (0.349, 0.514, 0.713)
W (0.651, 0.014, 0.787)